[1]
VASP calculation (GGA-PBEsol) on a relaxed structure of TiTlCdTe2.

The formation energy (no corrections) comes out at -0.103 eV per atom. Its symmetry is No. 123.

Lattice parameters (Å, degrees): 5.2999 5.2999 5.3204 90.00 90.00 90.00
Last column: nearest neighbours and their distance in Å.
Fractional coordinates of all 5 atoms:
Tl 0.5000 0.5000 0.5000  4 Cd 3.75, 8 Te 3.75
Te 0.0000 0.5000 0.0000  2 Ti 2.65
Te 0.5000 0.0000 0.0000  2 Ti 2.65
Ti 0.0000 0.0000 0.0000  4 Te 2.65, 2 Cd 2.66
Cd 0.0000 0.0000 0.5000  2 Ti 2.66

***

[2]
VASP calculation (GGA-PBEsol) on a relaxed structure of BaSrOs2.

Its energy above the most stable polymorph in this dataset is 0.696 eV per atom. Its symmetry is No. 139.

Lattice parameters (Å, degrees): 4.2647 4.2647 5.6857 112.03 112.03 90.00
Last column: nearest neighbours and their distance in Å.
Fractional coordinates of all 4 atoms:
Ba 0.0000 0.0000 0.0000  4 Sr 3.02, 8 Os 3.22
Os 0.7500 0.2500 0.5000  4 Os 3.02, 4 Ba 3.22, 4 Sr 3.22
Os 0.2500 0.7500 0.5000  4 Os 3.02, 4 Ba 3.22, 4 Sr 3.22
Sr 0.5000 0.5000 0.0000  4 Ba 3.02, 8 Os 3.22

***

[3]
VASP calculation (GGA-PBEsol) on a relaxed structure of ScGaO3.

The formation energy (no corrections) comes out at -2.754 eV per atom. Its symmetry is No. 185.

Lattice parameters (Å, degrees): 5.7235 5.7235 11.4756 90.00 90.00 120.00
Last column: nearest neighbours and their distance in Å.
Fractional coordinates of all 30 atoms:
Sc 0.3333 0.6667 0.2633  6 O 2.13-2.17
Sc 0.0000 0.0000 0.2235  7 O 2.12-2.29
Sc 0.0000 0.0000 0.7235  7 O 2.12-2.29
Sc 0.3333 0.6667 0.7633  6 O 2.13-2.17
Sc 0.6667 0.3333 0.7633  6 O 2.13-2.17
Sc 0.6667 0.3333 0.2633  6 O 2.13-2.17
Ga 0.3340 0.0000 0.9970  5 O 1.90-1.94
Ga 0.6660 0.0000 0.4970  5 O 1.90-1.94
Ga 0.6660 0.6660 0.9970  5 O 1.90-1.94
Ga 0.3340 0.3340 0.4970  5 O 1.90-1.94
Ga 0.0000 0.6660 0.4970  5 O 1.90-1.94
Ga 0.0000 0.3340 0.9970  5 O 1.90-1.94
O 0.3044 0.0000 0.8291  1 Ga 1.93, 3 Sc 2.12-2.13
O 0.3627 0.0000 0.1622  1 Ga 1.90
O 0.6373 0.0000 0.6622  1 Ga 1.90
O 0.6956 0.0000 0.3291  1 Ga 1.93, 3 Sc 2.12-2.13
O 0.3333 0.6667 0.4729  3 Ga 1.93
O 0.0000 0.0000 0.0243  3 Ga 1.94
O 0.0000 0.0000 0.5243  3 Ga 1.94
O 0.3333 0.6667 0.9729  3 Ga 1.93
O 0.6956 0.6956 0.8291  1 Ga 1.93, 3 Sc 2.12-2.13
O 0.6373 0.6373 0.1622  1 Ga 1.90
O 0.0000 0.6956 0.3291  1 Ga 1.93, 3 Sc 2.12-2.13
O 0.3627 0.3627 0.6622  1 Ga 1.90
O 0.3044 0.3044 0.3291  1 Ga 1.93, 3 Sc 2.12-2.13
O 0.0000 0.6373 0.6622  1 Ga 1.90
O 0.6667 0.3333 0.9729  3 Ga 1.93
O 0.6667 0.3333 0.4729  3 Ga 1.93
O 0.0000 0.3627 0.1622  1 Ga 1.90
O 0.0000 0.3044 0.8291  1 Ga 1.93, 3 Sc 2.12-2.13

***

[4]
VASP calculation (GGA-PBEsol) on a relaxed structure of Ta2NiRh.

As for the final energy: -10.16 eV/atom. Its symmetry is No. 65.

Lattice parameters (Å, degrees): 2.8056 4.6912 4.6912 107.87 89.95 89.95
Last column: nearest neighbours and their distance in Å.
Fractional coordinates of all 4 atoms:
Ni 0.5000 0.5000 0.5000  8 Ta 2.73, 2 Rh 2.76, 2 Ni 2.81
Rh 0.5000 0.0000 0.0000  8 Ta 2.73, 2 Ni 2.76, 2 Rh 2.81
Ta 0.0000 0.5000 0.0000  4 Rh 2.73, 4 Ni 2.73, 4 Ta 2.76-2.81
Ta 0.0000 0.0000 0.5000  4 Ni 2.73, 4 Rh 2.73, 4 Ta 2.76-2.81

***

[5]
VASP calculation (GGA-PBEsol) on a relaxed structure of KOsPt2Au.

As for the final energy: -4.75 eV/atom. Its symmetry is No. 123.

Lattice parameters (Å, degrees): 4.7249 4.7249 5.6511 90.00 90.00 90.00
Last column: nearest neighbours and their distance in Å.
Fractional coordinates of all 5 atoms:
Os 0.0000 0.0000 0.0000  4 Pt 2.36
K 0.0000 0.0000 0.5000  2 Os 2.83
Au 0.5000 0.5000 0.5000  4 K 3.34, 8 Pt 3.68
Pt 0.0000 0.5000 0.0000  2 Os 2.36
Pt 0.5000 0.0000 0.0000  2 Os 2.36

***

[6]
VASP calculation (GGA-PBEsol) on a relaxed structure of Mg2ZnIr.

As for the final energy: -3.94 eV/atom. Its symmetry is No. 139.

Lattice parameters (Å, degrees): 4.0243 4.0243 4.7603 115.00 115.00 90.00
Last column: nearest neighbours and their distance in Å.
Fractional coordinates of all 4 atoms:
Zn 0.5000 0.5000 0.0000  8 Mg 2.77, 4 Ir 2.85
Ir 0.0000 0.0000 0.0000  8 Mg 2.77, 4 Zn 2.85
Mg 0.2500 0.7500 0.5000  4 Ir 2.77, 4 Zn 2.77, 4 Mg 2.85
Mg 0.7500 0.2500 0.5000  4 Ir 2.77, 4 Zn 2.77, 4 Mg 2.85

***

[7]
VASP calculation (GGA-PBEsol) on a relaxed structure of KCdAs2.

As for the final energy: -3.05 eV/atom. Its symmetry is No. 65.

Lattice parameters (Å, degrees): 2.8654 5.7737 5.7737 112.77 90.00 90.00
Last column: nearest neighbours and their distance in Å.
Fractional coordinates of all 4 atoms:
As 0.0000 0.0000 0.5000  4 As 2.87-3.20
As 0.0000 0.5000 0.0000  4 As 2.87-3.20
Cd 0.5000 0.5000 0.5000  2 Cd 2.87, 2 K 3.20
K 0.5000 0.0000 0.0000  2 K 2.87, 2 Cd 3.20

***

[8]
VASP calculation (GGA-PBEsol) on a relaxed structure of NaLi2Y.

As for the final energy: -2.67 eV/atom. Its symmetry is No. 122.

Lattice parameters (Å, degrees): 6.4774 6.5379 6.5379 75.80 60.31 60.31
Last column: nearest neighbours and their distance in Å.
Fractional coordinates of all 8 atoms:
Y 0.7500 0.5000 0.5000  4 Li 3.11, 2 Na 3.24
Y 0.0000 0.0000 0.0000  4 Li 3.11, 2 Na 3.24
Na 0.2500 0.5000 0.5000  4 Li 2.80
Na 0.5000 0.0000 0.0000  4 Li 2.80
Li 0.1531 0.9719 0.4719  2 Na 2.80, 2 Y 3.11
Li 0.5969 0.0281 0.5281  2 Na 2.80, 2 Y 3.11
Li 0.3750 0.4719 0.0281  2 Na 2.80, 2 Y 3.11
Li 0.8750 0.5281 0.9719  2 Na 2.80, 2 Y 3.11